1.
Os2RuAu, single point on PBEsol structure, DFT SCAN; formation energy = 0.272 eV/atom; symmetry = No. 160
1.0
1.3612 0.7859 9.0491
-1.3612 0.7859 9.0491
0.0000 -1.5718 9.0491
Os Ru Au
2 1 1
direct
0.0000 0.0000 0.0000
0.2548 0.2548 0.2548
0.7447 0.7447 0.7447
0.4990 0.4990 0.4990

=====

2.
YZrHg2, single point on PBEsol structure, DFT SCAN; excess energy over the best structure of this formula in the dataset = 12 meV per atom; formation energy = -0.506 eV/atom; symmetry = No. 225
1.0
0.0000 3.5621 3.5621
3.5621 0.0000 3.5621
3.5621 3.5621 0.0000
Y Zr Hg
1 1 2
direct
0.0000 0.0000 0.0000
0.5000 0.5000 0.5000
0.2500 0.2500 0.2500
0.7500 0.7500 0.7500

=====

3.
BeOsAu2, single point on PBEsol structure, DFT SCAN; formation energy = 0.420 eV/atom; symmetry = No. 123
1.0
3.7859 0.0000 0.0000
0.0000 3.7859 0.0000
0.0000 0.0000 4.0207
Be Os Au
1 1 2
direct
0.0000 0.0000 0.0000
0.5000 0.5000 0.0000
0.0000 0.5000 0.5000
0.5000 0.0000 0.5000

=====

4.
BaTi3Sb, single point on PBEsol structure, DFT SCAN; formation energy without anion corrections = 8.41 eV/f.u.; symmetry = No. 221
1.0
4.9058 0.0000 0.0000
0.0000 4.9058 0.0000
0.0000 0.0000 4.9058
Ba Ti Sb
1 3 1
direct
0.0000 0.0000 0.0000
0.0000 0.0000 0.5000
0.0000 0.5000 0.0000
0.5000 0.0000 0.0000
0.5000 0.5000 0.5000

=====

5.
PPd3Pb, single point on PBEsol structure, DFT SCAN; excess energy over the best structure of this formula in the dataset = 0 meV per atom; formation energy = -0.300 eV/atom; symmetry = No. 221
1.0
4.5187 0.0000 0.0000
0.0000 4.5187 0.0000
0.0000 0.0000 4.5187
P Pd Pb
1 3 1
direct
0.0000 0.0000 0.0000
0.0000 0.0000 0.5000
0.0000 0.5000 0.0000
0.5000 0.0000 0.0000
0.5000 0.5000 0.5000

=====

6.
DyMnCu4P3, single point on PBEsol structure, DFT SCAN; formation energy = -0.580 eV/atom; symmetry = No. 62
1.0
12.2028 0.0000 0.0000
0.0000 3.6988 0.0000
0.0000 0.0000 10.7036
Dy Mn Cu P
4 4 16 12
direct
0.2069 0.2500 0.0893
0.2931 0.7500 0.5893
0.7069 0.2500 0.4107
0.7931 0.7500 0.9107
0.0238 0.7500 0.7157
0.4762 0.2500 0.2157
0.5238 0.7500 0.7843
0.9762 0.2500 0.2843
0.0040 0.7500 0.0875
0.0648 0.7500 0.4666
0.1848 0.2500 0.7919
0.1894 0.2500 0.3802
0.3106 0.7500 0.8802
0.3152 0.7500 0.2919
0.4352 0.2500 0.9666
0.4960 0.2500 0.5875
0.5040 0.7500 0.4125
0.5648 0.7500 0.0334
0.6848 0.2500 0.7081
0.6894 0.2500 0.1198
0.8106 0.7500 0.6198
0.8152 0.7500 0.2081
0.9352 0.2500 0.5334
0.9960 0.2500 0.9125
0.1180 0.7500 0.9077
0.1192 0.2500 0.5919
0.1196 0.7500 0.2610
0.3804 0.2500 0.7610
0.3808 0.7500 0.0919
0.3820 0.2500 0.4077
0.6180 0.7500 0.5923
0.6192 0.2500 0.9081
0.6196 0.7500 0.2390
0.8804 0.2500 0.7390
0.8808 0.7500 0.4081
0.8820 0.2500 0.0923

=====

7.
RbZr2SbPd, single point on PBEsol structure, DFT SCAN; formation energy without anion corrections = 5.08 eV/f.u.; symmetry = No. 123
1.0
5.3140 0.0000 0.0000
0.0000 5.3140 0.0000
0.0000 0.0000 6.1460
Rb Zr Sb Pd
1 2 1 1
direct
0.0000 0.0000 0.0000
0.0000 0.5000 0.5000
0.5000 0.0000 0.5000
0.0000 0.0000 0.5000
0.5000 0.5000 0.0000

=====

8.
Cr2Bi6O15, single point on PBEsol structure, DFT SCAN; formation energy without anion corrections = -33.68 eV/f.u.; symmetry = No. 37
1.0
6.1818 -9.9312 0.0000
6.1818 9.9312 0.0000
0.0000 0.0000 5.8043
Cr Bi O
4 12 30
direct
0.0343 0.7050 0.0000
0.2950 0.9657 0.5000
0.7050 0.0343 0.5000
0.9657 0.2950 0.0000
0.1070 0.2461 0.5167
0.1964 0.5997 0.5132
0.2461 0.1070 0.0167
0.3261 0.4520 0.1012
0.4003 0.8036 0.0132
0.4520 0.3261 0.6012
0.5480 0.6739 0.6012
0.5997 0.1964 0.0132
0.6739 0.5480 0.1012
0.7539 0.8930 0.0167
0.8036 0.4003 0.5132
0.8930 0.7539 0.5167
0.0007 0.3594 0.2597
0.0291 0.8418 0.0054
0.0733 0.3866 0.8069
0.1582 0.9709 0.5054
0.1759 0.7220 0.9138
0.2433 0.2444 0.2576
0.2444 0.2433 0.7576
0.2447 0.4385 0.4618
0.2780 0.8241 0.4138
0.3308 0.6412 0.2293
0.3594 0.0007 0.7597
0.3588 0.6692 0.7293
0.3866 0.0733 0.3069
0.4385 0.2447 0.9618
0.5000 0.5000 0.2963
0.5000 0.5000 0.7963
0.5615 0.7553 0.9618
0.6134 0.9267 0.3069
0.6412 0.3308 0.7293
0.6406 0.9993 0.7597
0.6692 0.3588 0.2293
0.7220 0.1759 0.4138
0.7553 0.5615 0.4618
0.7556 0.7567 0.7576
0.7567 0.7556 0.2576
0.8241 0.2780 0.9138
0.8418 0.0291 0.5054
0.9267 0.6134 0.8069
0.9709 0.1582 0.0054
0.9993 0.6406 0.2597

=====

DFT total energy, record by record: -61.664; -49.224; -53.217; -23.297; -37.201; -18.140; -29.418; -27.626 eV per atom
Theoretical density, record by record: 19.40; 10.68; 17.09; 5.66; 10.03; 7.76; 4.75; 7.45 g/cm³